The following is a GGA+U calculation of a geometry-optimized LiMnFe2O4 structure, from Alexandria.

```
data_LiMnFe2O4
_symmetry_space_group_name_H-M 'P 1 2/m 1'
_symmetry_Int_Tables_number 10
_cell_length_a 5.1517
_cell_length_b 3.0907
_cell_length_c 5.1943
_cell_angle_alpha 90.00
_cell_angle_beta 106.85
_cell_angle_gamma 90.00
loop_
_symmetry_equiv_pos_as_xyz
'x,y,z'
'-x,-y,-z'
'-x,y,-z'
'x,-y,z'
loop_
_atom_site_label
_atom_site_type_symbol
_atom_site_fract_x
_atom_site_fract_y
_atom_site_fract_z
_atom_site_occupancy
Li1 Li 0.0000 0.0000 0.0000 1
Mn1 Mn 0.5000 0.5000 0.0000 1
Fe1 Fe 0.0000 0.5000 0.5000 1
Fe2 Fe 0.5000 0.0000 0.5000 1
O1 O 0.2475 0.0000 0.7610 1
O2 O 0.2636 0.5000 0.2464 1
```

Values from the calculation:
N(E_F), states/eV per cell: 1.7
DFT total energy, eV/atom: -6.61
Volume, Å³/cell: 79.2